[1]
{"formula": "Pm3Ho2Te6", "functional": "PBE", "state": "optimized geometry", "e_form_raw_ev_per_atom": -1.3693, "lattice": [[2.202, 1.271, 21.905], [-2.202, 1.271, 21.905], [0.000, -2.542, 21.905]], "species": ["Pm", "Pm", "Pm", "Ho", "Ho", "Te", "Te", "Te", "Te", "Te", "Te"], "frac_coords": [[0.000, 0.000, 0.000], [0.277, 0.277, 0.277], [0.723, 0.723, 0.723], [0.448, 0.448, 0.448], [0.552, 0.552, 0.552], [0.086, 0.086, 0.086], [0.194, 0.194, 0.194], [0.361, 0.361, 0.361], [0.639, 0.639, 0.639], [0.806, 0.806, 0.806], [0.914, 0.914, 0.914]]}

---

[2]
{"formula": "PmHoTe2", "functional": "PBE", "state": "optimized geometry", "e_form_raw_ev_per_atom": -0.9516, "e_above_lowest_polymorph_mev_per_atom": 407.8, "lattice": [[4.515, 0.000, 0.000], [0.000, 9.824, 0.000], [0.000, 0.000, 6.930]], "species": ["Pm", "Pm", "Ho", "Ho", "Te", "Te", "Te", "Te"], "frac_coords": [[0.000, 0.085, 0.000], [0.500, 0.915, 0.500], [0.000, 0.672, 0.845], [0.500, 0.328, 0.345], [0.000, 0.412, 0.095], [0.000, 0.818, 0.219], [0.500, 0.182, 0.719], [0.500, 0.588, 0.595]]}

---

[3]
{"formula": "PmHo2Te", "functional": "PBE", "state": "optimized geometry", "e_form_raw_ev_per_atom": -0.4427, "e_above_lowest_polymorph_mev_per_atom": 212.1, "lattice": [[4.795, 0.000, 0.000], [0.000, 4.795, 0.000], [0.000, 0.000, 4.864]], "species": ["Pm", "Ho", "Ho", "Te"], "frac_coords": [[0.000, 0.000, 0.000], [0.000, 0.500, 0.500], [0.500, 0.000, 0.500], [0.500, 0.500, 0.000]]}

---

[4]
{"formula": "PmHo3Te4", "functional": "PBE", "state": "optimized geometry", "e_form_raw_ev_per_atom": -1.2836, "lattice": [[4.438, -6.180, 0.000], [4.438, 6.180, 0.000], [0.000, 0.000, 4.299]], "species": ["Pm", "Ho", "Ho", "Ho", "Te", "Te", "Te", "Te"], "frac_coords": [[0.000, 0.000, 0.000], [0.000, 0.500, 0.500], [0.500, 0.000, 0.500], [0.500, 0.500, 0.000], [0.254, 0.746, 0.000], [0.257, 0.257, 0.500], [0.743, 0.743, 0.500], [0.746, 0.254, 0.000]]}

---

[5]
{"formula": "PmHoTe6", "functional": "PBE", "state": "optimized geometry", "e_form_raw_ev_per_atom": -0.9364, "lattice": [[4.359, 0.000, 0.000], [0.000, 2.178, 13.463], [0.000, -2.178, 13.463]], "species": ["Pm", "Ho", "Te", "Te", "Te", "Te", "Te", "Te"], "frac_coords": [[0.000, 0.000, 0.000], [0.500, 0.345, 0.345], [0.000, 0.252, 0.252], [0.000, 0.595, 0.595], [0.000, 0.878, 0.878], [0.500, 0.095, 0.095], [0.500, 0.463, 0.463], [0.500, 0.752, 0.752]]}

---

[6]
{"formula": "Pm3HoTe6", "functional": "PBE", "state": "optimized geometry", "e_form_raw_ev_per_atom": -1.3836, "lattice": [[7.415, 0.000, 0.000], [0.000, 8.244, 0.000], [-7.229, 0.000, 11.275]], "species": ["Pm", "Pm", "Pm", "Pm", "Pm", "Pm", "Ho", "Ho", "Te", "Te", "Te", "Te", "Te", "Te", "Te", "Te", "Te", "Te", "Te", "Te"], "frac_coords": [[0.000, 0.000, 0.000], [0.000, 0.500, 0.500], [0.306, 0.120, 0.754], [0.306, 0.380, 0.254], [0.694, 0.620, 0.746], [0.694, 0.880, 0.246], [0.500, 0.000, 0.500], [0.500, 0.500, 0.000], [0.090, 0.052, 0.255], [0.090, 0.448, 0.755], [0.245, 0.673, 0.081], [0.245, 0.827, 0.581], [0.421, 0.178, 0.079], [0.421, 0.322, 0.579], [0.579, 0.678, 0.421], [0.579, 0.822, 0.921], [0.755, 0.173, 0.419], [0.755, 0.327, 0.919], [0.910, 0.552, 0.245], [0.910, 0.948, 0.745]]}

---

[7]
{"formula": "Pm4Ho3Te8", "functional": "PBE", "state": "optimized geometry", "e_form_raw_ev_per_atom": -1.3952, "lattice": [[6.202, -6.208, 0.000], [6.202, 6.208, 0.000], [-6.197, 0.000, 6.211]], "species": ["Pm", "Pm", "Pm", "Pm", "Ho", "Ho", "Ho", "Te", "Te", "Te", "Te", "Te", "Te", "Te", "Te"], "frac_coords": [[0.000, 0.000, 0.000], [0.000, 0.000, 0.500], [0.000, 0.500, 0.000], [0.500, 0.000, 0.000], [0.000, 0.500, 0.500], [0.500, 0.000, 0.500], [0.500, 0.500, 0.000], [0.253, 0.747, 0.000], [0.258, 0.742, 0.500], [0.262, 0.262, 0.016], [0.262, 0.262, 0.507], [0.738, 0.738, 0.493], [0.738, 0.738, 0.984], [0.742, 0.258, 0.500], [0.747, 0.253, 0.000]]}

---

[8]
{"formula": "Pm2Ho3Te6", "functional": "PBE", "state": "optimized geometry", "e_form_raw_ev_per_atom": -1.4113, "lattice": [[3.792, -6.531, 0.000], [3.792, 6.531, 0.000], [-2.534, 0.000, 7.135]], "species": ["Pm", "Pm", "Ho", "Ho", "Ho", "Te", "Te", "Te", "Te", "Te", "Te"], "frac_coords": [[0.164, 0.836, 0.000], [0.836, 0.164, 0.000], [0.000, 0.000, 0.500], [0.329, 0.671, 0.500], [0.671, 0.329, 0.500], [0.096, 0.417, 0.749], [0.264, 0.264, 0.255], [0.417, 0.096, 0.749], [0.583, 0.904, 0.251], [0.736, 0.736, 0.745], [0.904, 0.583, 0.251]]}